P.
First-principles (GGA-PBE) data for an optimized crystal structure of Y3CoSe, as listed in the Alexandria database.

Values from the calculation:
The total magnetization is 0.00 μB/f.u. The symmetry is Pm-3m, No. 221. The value obtained for the density of states at the Fermi level is 4.9 states/eV per cell.

a b c (Å): 5.157 5.157 5.157
angles (deg): 90.00 90.00 90.00
Positions (direct):
Y 0.000 0.000 0.500
Y 0.000 0.500 0.000
Y 0.500 0.000 0.000
Co 0.000 0.000 0.000
Se 0.500 0.500 0.500

---

Q.
First-principles (GGA-PBE) data for an optimized crystal structure of Y3CoSe, as listed in the Alexandria database.

Values from the calculation:
The total magnetization is 0.00 μB/f.u. The symmetry is C2/m, No. 12. The value obtained for the density of states at the Fermi level is 9.7 states/eV per cell.

a b c (Å): 10.715 10.715 6.036
angles (deg): 97.21 97.21 20.49
Positions (direct):
Y 0.001 0.001 0.252
Y 0.193 0.193 0.114
Y 0.361 0.361 0.426
Y 0.639 0.639 0.574
Y 0.807 0.807 0.886
Y 0.999 0.999 0.748
Co 0.238 0.238 0.607
Co 0.762 0.762 0.393
Se 0.415 0.415 0.966
Se 0.585 0.585 0.034

---

The most stable arrangement is Q, and the next structure is 0.377 eV/atom less stable.

---

P.
First-principles (GGA-PBE) data for an optimized crystal structure of YCoSe3, as listed in the Alexandria database.

Values from the calculation:
The total magnetization is 0.76 μB/f.u. The symmetry is Pm-3m, No. 221. The value obtained for the density of states at the Fermi level is 5.1 states/eV per cell.

a b c (Å): 4.727 4.727 4.727
angles (deg): 90.00 90.00 90.00
Positions (direct):
Y 0.000 0.000 0.000
Co 0.500 0.500 0.500
Se 0.000 0.500 0.500
Se 0.500 0.000 0.500
Se 0.500 0.500 0.000

---

Q.
First-principles (GGA-PBE) data for an optimized crystal structure of YCoSe3, as listed in the Alexandria database.

Values from the calculation:
The total magnetization is 3.02 μB/f.u. The symmetry is Pm-3m, No. 221. The value obtained for the density of states at the Fermi level is 14.9 states/eV per cell.

a b c (Å): 5.432 5.432 5.432
angles (deg): 90.00 90.00 90.00
Positions (direct):
Y 0.000 0.000 0.000
Co 0.500 0.500 0.500
Se 0.000 0.000 0.500
Se 0.000 0.500 0.000
Se 0.500 0.000 0.000

---

The most stable arrangement is P, and the next structure is 0.796 eV/atom less stable.

---

P.
First-principles (GGA-PBE) data for an optimized crystal structure of YCo3Se, as listed in the Alexandria database.

Values from the calculation:
The total magnetization is 3.62 μB/f.u. The symmetry is Pm-3m, No. 221. The value obtained for the density of states at the Fermi level is 2.9 states/eV per cell.

a b c (Å): 4.730 4.730 4.730
angles (deg): 90.00 90.00 90.00
Positions (direct):
Y 0.000 0.000 0.000
Co 0.000 0.000 0.500
Co 0.000 0.500 0.000
Co 0.500 0.000 0.000
Se 0.500 0.500 0.500

---

Q.
First-principles (GGA-PBE) data for an optimized crystal structure of YCo3Se, as listed in the Alexandria database.

Values from the calculation:
The total magnetization is 2.20 μB/f.u. The symmetry is Pm-3m, No. 221. The value obtained for the density of states at the Fermi level is 4.5 states/eV per cell.

a b c (Å): 4.379 4.379 4.379
angles (deg): 90.00 90.00 90.00
Positions (direct):
Y 0.000 0.000 0.000
Co 0.000 0.500 0.500
Co 0.500 0.000 0.500
Co 0.500 0.500 0.000
Se 0.500 0.500 0.500

---

The most stable arrangement is Q, and the next structure is 1.574 eV/atom less stable.

---

P.
First-principles (GGA-PBE) data for an optimized crystal structure of ZnCo2Se, as listed in the Alexandria database.

Values from the calculation:
The total magnetization is 2.53 μB/f.u. The symmetry is I-4m2, No. 119. The value obtained for the density of states at the Fermi level is 5.3 states/eV per cell.

a b c (Å): 4.847 4.847 4.847
angles (deg): 136.73 136.73 62.85
Positions (direct):
Zn 0.000 0.000 0.000
Co 0.250 0.750 0.500
Co 0.500 0.500 0.000
Se 0.750 0.250 0.500

---

Q.
First-principles (GGA-PBE) data for an optimized crystal structure of ZnCo2Se, as listed in the Alexandria database.

Values from the calculation:
The total magnetization is 1.49 μB/f.u. The symmetry is Imm2, No. 44. The value obtained for the density of states at the Fermi level is 3.9 states/eV per cell.

a b c (Å): 5.566 5.566 5.566
angles (deg): 149.65 140.58 50.54
Positions (direct):
Zn 0.000 0.000 0.000
Co 0.434 0.434 0.000
Co 0.677 0.177 0.500
Se 0.255 0.755 0.500

---

R.
First-principles (GGA-PBE) data for an optimized crystal structure of ZnCo2Se, as listed in the Alexandria database.

Values from the calculation:
The total magnetization is 1.10 μB/f.u. The symmetry is P4mm, No. 99. The value obtained for the density of states at the Fermi level is 4.5 states/eV per cell.

a b c (Å): 3.040 3.040 6.551
angles (deg): 90.00 90.00 90.00
Positions (direct):
Zn 0.000 0.000 0.000
Co 0.000 0.000 0.407
Co 0.500 0.500 0.193
Se 0.500 0.500 0.563

---

S.
First-principles (GGA-PBE) data for an optimized crystal structure of ZnCo2Se, as listed in the Alexandria database.

Values from the calculation:
The total magnetization is 2.19 μB/f.u. The symmetry is C2/m, No. 12. The value obtained for the density of states at the Fermi level is 5.0 states/eV per cell.

a b c (Å): 4.820 4.820 2.795
angles (deg): 105.30 105.30 109.51
Positions (direct):
Zn 0.000 0.000 0.000
Co 0.000 0.500 0.500
Co 0.500 0.000 0.500
Se 0.500 0.500 0.000

---

The most stable arrangement is R, and the next structure is 0.035 eV/atom less stable.

---

P.
First-principles (GGA-PBE) data for an optimized crystal structure of ZnCo2Se, as listed in the Alexandria database.

Values from the calculation:
The total magnetization is 2.02 μB/f.u. The symmetry is Pmmm, No. 47. The value obtained for the density of states at the Fermi level is 4.7 states/eV per cell.

a b c (Å): 2.863 3.649 5.325
angles (deg): 90.00 90.00 90.00
Positions (direct):
Zn 0.000 0.000 0.000
Co 0.500 0.500 0.225
Co 0.500 0.500 0.775
Se 0.500 0.000 0.500

---

Q.
First-principles (GGA-PBE) data for an optimized crystal structure of ZnCo2Se, as listed in the Alexandria database.

Values from the calculation:
The total magnetization is 3.31 μB/f.u. The symmetry is F-43m, No. 216. The value obtained for the density of states at the Fermi level is 4.8 states/eV per cell.

a b c (Å): 4.289 4.289 4.289
angles (deg): 60.00 60.00 60.00
Positions (direct):
Zn 0.000 0.000 0.000
Co 0.250 0.250 0.250
Co 0.500 0.500 0.500
Se 0.750 0.750 0.750

---

R.
First-principles (GGA-PBE) data for an optimized crystal structure of ZnCo2Se, as listed in the Alexandria database.

Values from the calculation:
The total magnetization is 0.23 μB/f.u. The symmetry is Cm, No. 8. The value obtained for the density of states at the Fermi level is 4.2 states/eV per cell.

a b c (Å): 4.630 4.630 4.098
angles (deg): 102.94 102.94 37.57
Positions (direct):
Zn 0.000 0.000 0.000
Co 0.260 0.260 0.878
Co 0.476 0.476 0.491
Se 0.752 0.752 0.416

---

The most stable arrangement is R, and the next structure is 0.033 eV/atom less stable.

---

P.
First-principles (GGA-PBE) data for an optimized crystal structure of ZrCoSe, as listed in the Alexandria database.

Values from the calculation:
The total magnetization is 0.00 μB/f.u. The symmetry is P3m1, No. 156. The value obtained for the density of states at the Fermi level is 2.5 states/eV per cell.

a b c (Å): 3.941 3.941 3.580
angles (deg): 90.00 90.00 120.00
Positions (direct):
Zr 0.000 0.000 0.000
Co 0.667 0.333 0.472
Se 0.333 0.667 0.506

---

Q.
First-principles (GGA-PBE) data for an optimized crystal structure of ZrCoSe, as listed in the Alexandria database.

Values from the calculation:
The total magnetization is 0.91 μB/f.u. The symmetry is I4mm, No. 107. The value obtained for the density of states at the Fermi level is 2.8 states/eV per cell.

a b c (Å): 5.099 5.099 5.099
angles (deg): 141.59 141.59 55.44
Positions (direct):
Zr 0.000 0.000 0.000
Co 0.346 0.346 0.000
Se 0.680 0.680 0.000

---

R.
First-principles (GGA-PBE) data for an optimized crystal structure of ZrCoSe, as listed in the Alexandria database.

Values from the calculation:
The total magnetization is 0.00 μB/f.u. The symmetry is R-3m, No. 166. The value obtained for the density of states at the Fermi level is 2.8 states/eV per cell.

a b c (Å): 10.413 10.413 10.413
angles (deg): 21.23 21.23 21.23
Positions (direct):
Zr 0.058 0.058 0.058
Zr 0.942 0.942 0.942
Co 0.334 0.334 0.334
Co 0.666 0.666 0.666
Se 0.224 0.224 0.224
Se 0.776 0.776 0.776

---

S.
First-principles (GGA-PBE) data for an optimized crystal structure of ZrCoSe, as listed in the Alexandria database.

Values from the calculation:
The total magnetization is 0.00 μB/f.u. The symmetry is F-43m, No. 216. The value obtained for the density of states at the Fermi level is 3.1 states/eV per cell.

a b c (Å): 4.185 4.185 4.185
angles (deg): 60.00 60.00 60.00
Positions (direct):
Zr 0.000 0.000 0.000
Co 0.750 0.750 0.750
Se 0.500 0.500 0.500

---

The most stable arrangement is R, and the next structure is 0.012 eV/atom less stable.

---

P.
First-principles (GGA-PBE) data for an optimized crystal structure of ZrCo3Se, as listed in the Alexandria database.

Values from the calculation:
The total magnetization is 2.71 μB/f.u. The symmetry is Pm-3m, No. 221. The value obtained for the density of states at the Fermi level is 3.5 states/eV per cell.

a b c (Å): 4.620 4.620 4.620
angles (deg): 90.00 90.00 90.00
Positions (direct):
Zr 0.000 0.000 0.000
Co 0.000 0.000 0.500
Co 0.000 0.500 0.000
Co 0.500 0.000 0.000
Se 0.500 0.500 0.500

---

Q.
First-principles (GGA-PBE) data for an optimized crystal structure of ZrCo3Se, as listed in the Alexandria database.

Values from the calculation:
The total magnetization is 1.58 μB/f.u. The symmetry is Pm-3m, No. 221. The value obtained for the density of states at the Fermi level is 11.8 states/eV per cell.

a b c (Å): 4.297 4.297 4.297
angles (deg): 90.00 90.00 90.00
Positions (direct):
Zr 0.000 0.000 0.000
Co 0.000 0.500 0.500
Co 0.500 0.000 0.500
Co 0.500 0.500 0.000
Se 0.500 0.500 0.500

---

The most stable arrangement is Q, and the next structure is 1.112 eV/atom less stable.

---

P.
First-principles (GGA-PBE) data for an optimized crystal structure of Zr2CoSe2, as listed in the Alexandria database.

Values from the calculation:
The total magnetization is 0.13 μB/f.u. The symmetry is I4/mmm, No. 139. The value obtained for the density of states at the Fermi level is 5.3 states/eV per cell.

a b c (Å): 5.265 5.265 5.265
angles (deg): 120.15 120.15 89.74
Positions (direct):
Zr 0.250 0.750 0.500
Zr 0.750 0.250 0.500
Co 0.000 0.000 0.000
Se 0.303 0.303 0.000
Se 0.697 0.697 0.000

---

Q.
First-principles (GGA-PBE) data for an optimized crystal structure of Zr2CoSe2, as listed in the Alexandria database.

Values from the calculation:
The total magnetization is 0.91 μB/f.u. The symmetry is P4/mbm, No. 127. The value obtained for the density of states at the Fermi level is 8.2 states/eV per cell.

a b c (Å): 7.180 7.180 3.526
angles (deg): 90.00 90.00 90.00
Positions (direct):
Zr 0.154 0.346 0.000
Zr 0.346 0.846 0.000
Zr 0.654 0.154 0.000
Zr 0.846 0.654 0.000
Co 0.000 0.000 0.500
Co 0.500 0.500 0.500
Se 0.150 0.650 0.500
Se 0.350 0.150 0.500
Se 0.650 0.850 0.500
Se 0.850 0.350 0.500

---

The most stable arrangement is Q, and the next structure is 0.098 eV/atom less stable.

---

P.
First-principles (GGA-PBE) data for an optimized crystal structure of Co4Si3, as listed in the Alexandria database.

Values from the calculation:
The total magnetization is 2.50 μB/f.u. The symmetry is I4/mmm, No. 139. The value obtained for the density of states at the Fermi level is 8.7 states/eV per cell.

a b c (Å): 9.221 9.221 9.221
angles (deg): 161.57 161.57 26.18
Positions (direct):
Co 0.068 0.068 0.000
Co 0.343 0.343 0.000
Co 0.657 0.657 0.000
Co 0.932 0.932 0.000
Si 0.208 0.208 0.000
Si 0.500 0.500 0.000
Si 0.792 0.792 0.000

---

Q.
First-principles (GGA-PBE) data for an optimized crystal structure of Co4Si3, as listed in the Alexandria database.

Values from the calculation:
The total magnetization is 3.54 μB/f.u. The symmetry is P6/mmm, No. 191. The value obtained for the density of states at the Fermi level is 4.3 states/eV per cell.

a b c (Å): 4.674 4.674 4.242
angles (deg): 90.00 90.00 120.00
Positions (direct):
Co 0.000 0.000 0.247
Co 0.000 0.000 0.753
Co 0.333 0.667 0.000
Co 0.667 0.333 0.000
Si 0.000 0.500 0.500
Si 0.500 0.000 0.500
Si 0.500 0.500 0.500

---

The most stable arrangement is P, and the next structure is 0.395 eV/atom less stable.

---

P.
First-principles (GGA-PBE) data for an optimized crystal structure of Co3Si5, as listed in the Alexandria database.

Values from the calculation:
The total magnetization is 0.00 μB/f.u. The symmetry is Cmmm, No. 65. The value obtained for the density of states at the Fermi level is 5.3 states/eV per cell.

a b c (Å): 4.938 4.938 3.823
angles (deg): 90.00 90.00 90.15
Positions (direct):
Co 0.000 0.000 0.000
Co 0.306 0.306 0.500
Co 0.694 0.694 0.500
Si 0.000 0.500 0.000
Si 0.201 0.799 0.500
Si 0.500 0.000 0.000
Si 0.500 0.500 0.000
Si 0.799 0.201 0.500

---

Q.
First-principles (GGA-PBE) data for an optimized crystal structure of Co3Si5, as listed in the Alexandria database.

Values from the calculation:
The total magnetization is 0.00 μB/f.u. The symmetry is P6_3/mcm, No. 193. The value obtained for the density of states at the Fermi level is 5.5 states/eV per cell.

a b c (Å): 6.894 6.894 4.681
angles (deg): 90.00 90.00 120.00
Positions (direct):
Co 0.000 0.385 0.250
Co 0.000 0.615 0.750
Co 0.385 0.000 0.250
Co 0.385 0.385 0.750
Co 0.615 0.000 0.750
Co 0.615 0.615 0.250
Si 0.000 0.265 0.750
Si 0.000 0.735 0.250
Si 0.265 0.000 0.750
Si 0.265 0.265 0.250
Si 0.333 0.667 0.000
Si 0.333 0.667 0.500
Si 0.667 0.333 0.000
Si 0.667 0.333 0.500
Si 0.735 0.000 0.250
Si 0.735 0.735 0.750

---

The most stable arrangement is Q, and the next structure is 0.014 eV/atom less stable.

---

P.
First-principles (GGA-PBE) data for an optimized crystal structure of CoSi5, as listed in the Alexandria database.

Values from the calculation:
The total magnetization is 0.00 μB/f.u. The symmetry is Cm, No. 8. The value obtained for the density of states at the Fermi level is 2.4 states/eV per cell.

a b c (Å): 4.718 4.718 7.391
angles (deg): 113.98 113.98 32.94
Positions (direct):
Co 0.000 0.000 0.000
Si 0.072 0.072 0.578
Si 0.376 0.376 0.702
Si 0.458 0.458 0.245
Si 0.706 0.706 0.930
Si 0.737 0.737 0.290

---

Q.
First-principles (GGA-PBE) data for an optimized crystal structure of CoSi5, as listed in the Alexandria database.

Values from the calculation:
The total magnetization is 0.79 μB/f.u. The symmetry is P-62m, No. 189. The value obtained for the density of states at the Fermi level is 4.0 states/eV per cell.

a b c (Å): 4.524 4.524 4.426
angles (deg): 90.00 90.00 120.00
Positions (direct):
Co 0.000 0.000 0.000
Si 0.000 0.677 0.500
Si 0.323 0.323 0.500
Si 0.333 0.667 0.000
Si 0.667 0.333 0.000
Si 0.677 0.000 0.500

---

The most stable arrangement is P, and the next structure is 0.128 eV/atom less stable.